Below is an optimized crystal structure of ZnInC2, with properties calculated at the PBE level.

## Properties
formation enthalpy at 0 K	2.04	eV/atom
final energy	-3.578	eV/atom

a b c (Å): 5.8434 5.8434 5.8434
angles (deg): 90.00 90.00 90.00
Last column: nearest neighbours and their distance in Å.
Space group Fm-3m (No. 225)
Asymmetric unit:
Zn  0.0000  0.0000  0.0000  8 C 2.53
In  0.0000  0.0000  0.5000  8 C 2.53
C  0.2500  0.2500  0.2500  4 In 2.53, 4 Zn 2.53

Below is an optimized crystal structure of ZrVOsPd2, with properties calculated at the PBE level.

## Properties
formation enthalpy at 0 K	0.87	eV/atom
final energy	-6.984	eV/atom

a b c (Å): 4.8880 4.8880 4.3659
angles (deg): 90.00 90.00 90.00
Last column: nearest neighbours and their distance in Å.
Space group P4/mmm (No. 123)
Asymmetric unit:
Zr  0.0000  0.0000  0.0000  8 Pd 3.28, 4 V 3.46
V  0.5000  0.5000  0.0000  2 Os 2.18
Os  0.5000  0.5000  0.5000  2 V 2.18, 4 Pd 2.44
Pd  0.0000  0.5000  0.5000  2 Os 2.44

Below is an optimized crystal structure of GaTe2Pd, with properties calculated at the PBE level.

## Properties
final energy	-3.808	eV/atom

a b c (Å): 11.8916 4.0287 8.9111
angles (deg): 90.00 108.46 90.00
Last column: nearest neighbours and their distance in Å.
Space group C2/m (No. 12)
Asymmetric unit:
Ga  0.1947  0.0000  0.0470  2 Ga 2.68, 2 Te 2.88-2.90
Te  0.0220  0.0000  0.2153  2 Pd 2.72, 2 Ga 2.88-2.90
Te  0.1876  0.0000  0.6315  3 Pd 2.70-2.77
Pd  0.0974  0.5000  0.4281  5 Te 2.70-2.77, 1 Pd 2.98

Below is an optimized crystal structure of Ce2H2N, with properties calculated at the PBE level.

## Properties
final energy	-6.163	eV/atom

a b c (Å): 3.5736 3.5736 18.1625
angles (deg): 90.00 90.00 120.00
Last column: nearest neighbours and their distance in Å.
Space group R-3m (No. 166, hexagonal axes)
Asymmetric unit:
Ce  0.0000  0.0000  0.0903  3 H 2.41, 3 N 2.49
H  0.0000  0.0000  0.3115  3 H 2.21, 3 Ce 2.41
N  0.0000  0.0000  0.5000  6 Ce 2.49

Below is an optimized crystal structure of Fe2TcPt5, with properties calculated at the PBE level.

## Properties
formation enthalpy at 0 K	-0.16	eV/atom
final energy	-7.350	eV/atom

a b c (Å): 5.5097 11.1139 3.8566
angles (deg): 90.00 90.00 90.00
Last column: nearest neighbours and their distance in Å.
Space group Pbam (No. 55)
Asymmetric unit:
Fe  0.2445  0.1235  0.0000  10 Pt 2.71-2.85, 2 Tc 2.72
Tc  0.0000  0.0000  0.5000  8 Pt 2.71-2.75, 4 Fe 2.72
Pt  0.0000  0.5000  0.5000  6 Pt 2.73-2.83, 4 Fe 2.75, 2 Tc 2.75
Pt  0.0009  0.7542  0.5000  4 Fe 2.72-2.79, 1 Tc 2.73, 7 Pt 2.74-2.83
Pt  0.2470  0.8800  0.0000  4 Fe 2.71-2.85, 2 Tc 2.71, 6 Pt 2.73-2.81

Below is an optimized crystal structure of Li3Ag2Pd7, with properties calculated at the PBE level.

## Properties
formation enthalpy at 0 K	-0.12	eV/atom
final energy	-4.105	eV/atom

a b c (Å): 4.4884 2.8033 15.4765
angles (deg): 90.00 97.84 90.00
Last column: nearest neighbours and their distance in Å.
Space group P2/m (No. 10)
Asymmetric unit:
Li  0.0000  0.0000  0.0000  8 Pd 2.44-2.65
Li  0.3060  0.5000  0.6224  2 Li 2.80, 6 Pd 2.88-2.92, 4 Ag 3.00
Ag  0.1510  0.0000  0.2857  5 Pd 2.64-2.91, 2 Ag 2.80
Pd  0.0770  0.5000  0.1300  2 Li 2.44, 4 Pd 2.70
Pd  0.2304  0.0000  0.4581  4 Pd 2.59-2.80, 1 Ag 2.64, 2 Li 2.88
Pd  0.4059  0.0000  0.8348  8 Pd 2.70-2.90, 2 Ag 2.91
Pd  0.5000  0.5000  0.0000  4 Li 2.65, 8 Pd 2.80-2.95

Question: Look up the final energy of the fourth one.
Answer: -6.163 eV/atom

Question: Which value of final energy does entry 2 give?
Answer: -6.984 eV/atom

Question: What is the final energy in the fourth record?
Answer: -6.163 eV/atom

Question: What is the formula in the first record?
Answer: ZnInC2